1.
Below is a geometry-optimized AlAgAs structure, with properties calculated at the PBE level.

a b c (Å): 3.303 3.303 5.925
angles (deg): 90.00 90.00 120.00
Fractional positions:
Al 0.000 0.000 0.000
Ag 0.333 0.667 0.674
As 0.667 0.333 0.306

Results
Crystal system: trigonal
Calculated formation energy in eV per atom: 0.07

2.
Below is a geometry-optimized Al2AgAs structure, with properties calculated at the PBE level.

a b c (Å): 2.902 2.902 8.422
angles (deg): 90.00 90.00 90.00
Fractional positions:
Al 0.000 0.000 0.000
Al 0.500 0.500 0.235
Ag 0.500 0.500 0.771
As 0.000 0.000 0.479

Results
Crystal system: tetragonal
Calculated formation energy in eV per atom: 0.08

3.
Below is a geometry-optimized AlAgAs structure, with properties calculated at the PBE level.

a b c (Å): 11.551 5.881 5.460
angles (deg): 90.00 90.00 90.00
Fractional positions:
Al 0.000 0.230 0.000
Al 0.143 0.496 0.258
Al 0.357 0.504 0.758
Al 0.500 0.770 0.500
Al 0.643 0.504 0.758
Al 0.857 0.496 0.258
Ag 0.000 0.701 0.611
Ag 0.181 0.016 0.333
Ag 0.319 0.984 0.833
Ag 0.500 0.299 0.111
Ag 0.681 0.984 0.833
Ag 0.819 0.016 0.333
As 0.000 0.808 0.091
As 0.162 0.320 0.688
As 0.338 0.680 0.188
As 0.500 0.192 0.591
As 0.662 0.680 0.188
As 0.838 0.320 0.688

Results
Crystal system: orthorhombic
Calculated formation energy in eV per atom: 0.02

4.
Below is a geometry-optimized Al2AgAs structure, with properties calculated at the PBE level.

a b c (Å): 5.079 5.079 5.079
angles (deg): 131.39 131.39 71.19
Fractional positions:
Al 0.000 0.000 0.000
Al 0.750 0.250 0.500
Ag 0.500 0.500 0.000
As 0.250 0.750 0.500

Results
Crystal system: tetragonal
Calculated formation energy in eV per atom: 0.14

5.
Below is a geometry-optimized AlAg2As structure, with properties calculated at the PBE level.

a b c (Å): 9.924 9.924 9.924
angles (deg): 156.76 156.76 33.09
Fractional positions:
Al 0.000 0.000 0.000
Al 0.750 0.250 0.500
Ag 0.119 0.625 0.994
Ag 0.375 0.369 0.494
Ag 0.631 0.125 0.006
Ag 0.875 0.881 0.506
As 0.250 0.750 0.500
As 0.500 0.500 0.000

Results
Crystal system: tetragonal
Calculated formation energy in eV per atom: 0.10

6.
Below is a geometry-optimized Al2AgAs structure, with properties calculated at the PBE level.

a b c (Å): 3.682 3.682 5.484
angles (deg): 90.00 90.00 90.00
Fractional positions:
Al 0.000 0.000 0.000
Al 0.500 0.500 0.349
Ag 0.500 0.500 0.868
As 0.000 0.000 0.472

Results
Crystal system: tetragonal
Calculated formation energy in eV per atom: 0.03

7.
Below is a geometry-optimized AlAg2As structure, with properties calculated at the PBE level.

a b c (Å): 3.657 3.657 5.446
angles (deg): 90.00 90.00 90.00
Fractional positions:
Al 0.000 0.000 0.000
Ag 0.000 0.000 0.497
Ag 0.500 0.500 0.729
As 0.500 0.500 0.216

Results
Crystal system: tetragonal
Calculated formation energy in eV per atom: 0.06

8.
Below is a geometry-optimized AlAgAs2 structure, with properties calculated at the PBE level.

a b c (Å): 3.785 3.785 5.404
angles (deg): 90.00 90.00 90.00
Fractional positions:
Al 0.000 0.000 0.000
Ag 0.500 0.500 0.501
As 0.000 0.000 0.500
As 0.500 0.500 0.001

Results
Crystal system: tetragonal
Calculated formation energy in eV per atom: 0.02

9.
Below is a geometry-optimized AlAg2As structure, with properties calculated at the PBE level.

a b c (Å): 3.621 3.621 5.577
angles (deg): 90.00 90.00 90.00
Fractional positions:
Al 0.000 0.000 0.000
Ag 0.500 0.500 0.244
Ag 0.500 0.500 0.756
As 0.000 0.000 0.500

Results
Crystal system: tetragonal
Calculated formation energy in eV per atom: 0.12

10.
Below is a geometry-optimized AlAg2As structure, with properties calculated at the PBE level.

a b c (Å): 8.834 8.834 8.834
angles (deg): 20.26 20.26 20.26
Fractional positions:
Al 0.000 0.000 0.000
Ag 0.253 0.253 0.253
Ag 0.747 0.747 0.747
As 0.500 0.500 0.500

Results
Crystal system: trigonal
Calculated formation energy in eV per atom: 0.11

11.
Below is a geometry-optimized Al2AgAs structure, with properties calculated at the PBE level.

a b c (Å): 4.913 4.913 5.335
angles (deg): 101.51 101.51 34.62
Fractional positions:
Al 0.247 0.247 0.237
Al 0.753 0.753 0.763
Ag 0.500 0.500 0.000
As 0.000 0.000 0.500

Results
Crystal system: monoclinic
Calculated formation energy in eV per atom: 0.10

12.
Below is a geometry-optimized AlAgAs2 structure, with properties calculated at the PBE level.

a b c (Å): 3.059 3.918 6.984
angles (deg): 90.00 90.00 90.00
Fractional positions:
Al 0.000 0.000 0.000
Ag 0.500 0.500 0.769
As 0.000 0.000 0.612
As 0.500 0.500 0.172

Results
Crystal system: orthorhombic
Calculated formation energy in eV per atom: 0.11

13.
Below is a geometry-optimized AlAgAs structure, with properties calculated at the PBE level.

a b c (Å): 4.724 4.724 2.887
angles (deg): 90.00 90.00 120.00
Fractional positions:
Al 0.000 0.000 0.000
Ag 0.333 0.667 0.506
As 0.667 0.333 0.000

Results
Crystal system: trigonal
Calculated formation energy in eV per atom: 0.16

14.
Below is a geometry-optimized AlAgAs structure, with properties calculated at the PBE level.

a b c (Å): 6.611 6.414 3.068
angles (deg): 79.98 72.83 27.19
Fractional positions:
Al 0.000 0.000 0.000
Ag 0.658 0.658 0.342
As 0.351 0.351 0.649

Results
Crystal system: orthorhombic
Calculated formation energy in eV per atom: 0.14

15.
Below is a geometry-optimized AlAg2As structure, with properties calculated at the PBE level.

a b c (Å): 2.956 2.956 8.185
angles (deg): 90.00 90.00 90.00
Fractional positions:
Al 0.000 0.000 0.000
Ag 0.500 0.500 0.229
Ag 0.500 0.500 0.771
As 0.000 0.000 0.500

Results
Crystal system: tetragonal
Calculated formation energy in eV per atom: 0.09

16.
Below is a geometry-optimized AlAg2As structure, with properties calculated at the PBE level.

a b c (Å): 2.976 2.976 8.140
angles (deg): 90.00 90.00 90.00
Fractional positions:
Al 0.000 0.000 0.000
Ag 0.000 0.000 0.510
Ag 0.500 0.500 0.772
As 0.500 0.500 0.238

Results
Crystal system: tetragonal
Calculated formation energy in eV per atom: 0.11

17.
Below is a geometry-optimized Al2AgAs structure, with properties calculated at the PBE level.

a b c (Å): 2.989 4.010 6.313
angles (deg): 90.00 103.30 90.00
Fractional positions:
Al 0.000 0.000 0.000
Al 0.370 0.500 0.729
Ag 0.586 0.500 0.174
As 0.778 0.000 0.547

Results
Crystal system: monoclinic
Calculated formation energy in eV per atom: 0.05

18.
Below is a geometry-optimized AlAgAs2 structure, with properties calculated at the PBE level.

a b c (Å): 4.155 4.155 7.214
angles (deg): 94.62 94.62 40.32
Fractional positions:
Al 0.000 0.000 0.000
Ag 0.687 0.687 0.253
As 0.272 0.272 0.793
As 0.411 0.411 0.489

Results
Crystal system: monoclinic
Calculated formation energy in eV per atom: 0.08

19.
Below is a geometry-optimized Al2AgAs structure, with properties calculated at the PBE level.

a b c (Å): 2.801 3.388 7.683
angles (deg): 90.00 90.00 90.00
Fractional positions:
Al 0.000 0.000 0.234
Al 0.000 0.000 0.766
Ag 0.500 0.500 0.000
As 0.000 0.500 0.500

Results
Crystal system: orthorhombic
Calculated formation energy in eV per atom: 0.01

20.
Below is a geometry-optimized Al2AgAs structure, with properties calculated at the PBE level.

a b c (Å): 6.433 6.433 6.433
angles (deg): 120.31 120.31 89.47
Fractional positions:
Al 0.110 0.625 0.985
Al 0.375 0.360 0.485
Al 0.640 0.125 0.015
Al 0.875 0.890 0.515
Ag 0.250 0.750 0.500
Ag 0.500 0.500 0.000
As 0.000 0.000 0.000
As 0.750 0.250 0.500

Results
Crystal system: tetragonal
Calculated formation energy in eV per atom: 0.11